[1]
The following is a DFT calculation (PBE) of crystalline CePmEr2 at its relaxed geometry.

Energy of formation in eV/atom: 0.059

Cell and atoms, written as CIF:
```
data_CePmEr2
_chemical_formula_sum 'Ce1 Pm1 Er2'
_cell_length_a 3.5459
_cell_length_b 3.5459
_cell_length_c 9.9144
_cell_angle_alpha 90.00
_cell_angle_beta 90.00
_cell_angle_gamma 90.00
_symmetry_space_group_name_H-M 'P 4/m m m'
_symmetry_Int_Tables_number 123
_symmetry_space_group_name_Hall '-P 4 2'
loop_
_atom_site_label
_atom_site_type_symbol
_atom_site_fract_x
_atom_site_fract_y
_atom_site_fract_z
Ce1 Ce 0.0000 0.0000 0.0000
Pm1 Pm 0.0000 0.0000 0.5000
Er1 Er 0.5000 0.5000 0.2416
```

---

[2]
The following is a DFT calculation (PBE) of crystalline CePm2PrEr5 at its relaxed geometry.

Energy of formation in eV/atom: 0.266

Cell and atoms, written as CIF:
```
data_CePm2PrEr5
_chemical_formula_sum 'Ce4 Pm8 Pr4 Er20'
_cell_length_a 8.6863
_cell_length_b 8.6863
_cell_length_c 15.3820
_cell_angle_alpha 90.00
_cell_angle_beta 90.00
_cell_angle_gamma 90.00
_symmetry_space_group_name_H-M 'I 4/m c m'
_symmetry_Int_Tables_number 140
_symmetry_space_group_name_Hall '-I 4 2c'
loop_
_atom_site_label
_atom_site_type_symbol
_atom_site_fract_x
_atom_site_fract_y
_atom_site_fract_z
Ce1 Ce 0.0000 0.5000 0.2500
Pm1 Pm 0.1186 0.3814 0.0000
Pr1 Pr 0.0000 0.0000 0.2500
Er1 Er 0.0000 0.0000 0.0000
Er2 Er 0.2044 0.2956 0.3625
```

---

| no. | density of states at the Fermi level (states/eV/f.u.) | total magnetization (μB/atom) |
| --- | --- | --- |
| 1 | 7.64 | 0.1623 |
| 2 | 14.01 | 0.1131 |